# 1
Below is a crystal of RbPI3 relaxed with PBEsol, with properties calculated at the meta-GGA SCAN level.

Results
DOS(E_F), states/eV/f.u.: 2.59
M_tot, μB/f.u.: 0.00
Calculated volume, Å³/atom: 35.3
Raw total energy, eV/atom: -28.82

```
RbPI3
1.0
-0.464 -3.740 4.158
4.706 1.994 2.318
-3.023 3.678 2.971
I Rb P
3 1 1
direct
0.000 0.000 0.500
0.000 0.500 0.000
0.500 0.000 0.000
0.500 0.500 0.500
0.000 0.000 0.000
```

***

# 2
Below is a crystal of Ba3AlCr relaxed with PBEsol, with properties calculated at the meta-GGA SCAN level.

Results
DOS(E_F), states/eV/f.u.: 6.94
M_tot, μB/f.u.: 5.63
ΔE_f, eV/f.u.: 2.6
Calculated volume, Å³/atom: 52.8
Raw total energy, eV/atom: -28.44

```
Ba3AlCr
1.0
6.416 0.000 0.000
0.000 6.416 0.000
0.000 0.000 6.416
Ba Cr Al
3 1 1
direct
0.500 0.000 0.000
0.000 0.000 0.500
0.000 0.500 0.000
0.500 0.500 0.500
0.000 0.000 0.000
```